LaRuSeN2 after structural relaxation, computed with PBE.

Electronic total energy (eV/atom): -5.58
Excess energy over the best structure of this formula in the dataset (eV/atom): 1.428
D(E_F) (states/eV/f.u.): 6.99

a b c (Å): 4.105 4.105 6.438
angles (deg): 90.00 90.00 90.00
Space group P4/mmm (No. 123)
Symmetry-distinct sites (fractional):
La 0.000 0.000 0.000
Ru 0.500 0.500 0.500
Se 0.000 0.000 0.500
N 0.000 0.500 0.000


CeTh2Cu after structural relaxation, computed with PBE.

Electronic total energy (eV/atom): -5.92
Excess energy over the best structure of this formula in the dataset (eV/atom): 0.280
Formation enthalpy at 0 K (eV/atom): 0.293
D(E_F) (states/eV/f.u.): 7.48

a b c (Å): 3.3934 3.3934 33.0507
angles (deg): 90.00 90.00 120.00
Space group R-3m (No. 166, hexagonal axes)
Symmetry-distinct sites (fractional):
Ce 0.0000 0.0000 0.0000
Th 0.0000 0.0000 0.0984
Cu 0.0000 0.0000 0.5000


Ac2NbVN5 after structural relaxation, computed with PBE.

Electronic total energy (eV/atom): -8.78
D(E_F) (states/eV/f.u.): 2.60

a b c (Å): 3.432 14.777 10.696
angles (deg): 90.00 90.00 90.00
Space group Cmc2_1 (No. 36)
Symmetry-distinct sites (fractional):
Ac 0.000 0.119 0.000
Ac 0.000 0.135 0.631
Nb 0.000 0.208 0.339
V 0.000 0.445 0.759
N 0.000 0.043 0.335
N 0.000 0.296 0.968
N 0.000 0.325 0.703
N 0.000 0.337 0.322
N 0.000 0.500 0.114


no.,theoretical density (Mg/m³)
1,5.31
2,10.09
3,8.18